No. 1
Below is an optimized crystal structure of NdZnNiPd, with properties calculated at the PBE-GGA level. Values from VASP.

Quantum ESPRESSO input file:
```
&SYSTEM
  ibrav = 0, nat = 4, ntyp = 4
/
ATOMIC_SPECIES
Nd 144.24 Nd.upf
Zn 65.41 Zn.upf
Ni 58.69 Ni.upf
Pd 106.42 Pd.upf
CELL_PARAMETERS angstrom
2.153 1.243 4.762
-2.153 1.243 4.762
0.000 -2.486 4.762
ATOMIC_POSITIONS angstrom
Nd 0.000 0.000 0.000
Zn 0.000 0.000 7.282
Ni 0.000 0.000 2.920
Pd 0.000 0.000 11.316
```

Values from the calculation:
Formation enthalpy at 0 K   -2.11 eV/f.u.
Space group   R3m, No. 160

=====

No. 2
Below is an optimized crystal structure of Hf3Te5Au, with properties calculated at the PBE-GGA level. Values from VASP.

Quantum ESPRESSO input file:
```
&SYSTEM
  ibrav = 0, nat = 9, ntyp = 3
/
ATOMIC_SPECIES
Hf 178.49 Hf.upf
Te 127.60 Te.upf
Au 196.97 Au.upf
CELL_PARAMETERS angstrom
6.261 0.000 0.000
-3.130 5.422 0.000
0.000 0.000 8.142
ATOMIC_POSITIONS angstrom
Hf -1.565 2.711 0.000
Hf 3.130 0.000 0.000
Hf 1.565 2.711 0.000
Te 0.000 0.000 0.000
Te 0.000 3.615 2.228
Te 0.000 3.615 5.914
Te 3.130 1.807 2.228
Te 3.130 1.807 5.914
Au 0.000 0.000 4.071
```

Values from the calculation:
Space group   P6/mmm, No. 191

=====

Number 1: uncorrected energy -18.9 eV for the cell shown. Number 2: uncorrected energy -52.1 eV for the cell shown.